Below is a relaxed PmSm6Er6 crystal, with properties calculated at the PBE level.

Output
VASP energy (eV per atom): -4.386
ΔH_f (0 K) (eV per atom): 0.2638

The structure in CIF format:
```
data_PmSm6Er6
_chemical_formula_sum 'Pm1 Sm6 Er6'
_symmetry_space_group_name_H-M 'P 6/m m m'
_symmetry_Int_Tables_number 191
_symmetry_space_group_name_Hall '-P 6 2'
_cell_length_a 6.6966
_cell_length_b 6.6966
_cell_length_c 11.3909
_cell_angle_alpha 90.00
_cell_angle_beta 90.00
_cell_angle_gamma 120.00
loop_
_atom_site_label
_atom_site_type_symbol
_atom_site_fract_x
_atom_site_fract_y
_atom_site_fract_z
_atom_site_occupancy
Pm1 Pm 0.0000 0.0000 0.0000 1
Sm1 Sm 0.0000 0.0000 0.3458 1
Sm2 Sm 0.3333 0.6667 0.0000 1
Sm3 Sm 0.3333 0.6667 0.5000 1
Er1 Er 0.0000 0.5000 0.2457 1
```